Entry a
A relaxed structure of Li4Ti2V3Cu3O16. Source: Alexandria, functional GGA+U.

Lattice parameters (Å, degrees): 5.758 6.104 10.929 90.11 94.15 110.78
Space group P1 (No. 1)
Unique sites:
Li 0.000 0.000 0.000 [1 per cell]
Li 0.143 0.471 0.919 [1 per cell]
Li 0.334 0.166 0.398 [1 per cell]
Li 0.717 0.680 0.357 [1 per cell]
Ti 0.404 0.563 0.626 [1 per cell]
Ti 0.667 0.461 0.925 [1 per cell]
V 0.789 0.133 0.262 [1 per cell]
V 0.939 0.076 0.568 [1 per cell]
V 0.945 0.629 0.649 [1 per cell]
Cu 0.330 0.956 0.819 [1 per cell]
Cu 0.410 0.352 0.145 [1 per cell]
Cu 0.463 0.880 0.039 [1 per cell]
O 0.011 0.215 0.157 [1 per cell]
O 0.045 0.943 0.712 [1 per cell]
O 0.159 0.676 0.532 [1 per cell]
O 0.215 0.595 0.757 [1 per cell]
O 0.287 0.275 0.558 [1 per cell]
O 0.375 0.145 0.981 [1 per cell]
O 0.452 0.570 0.012 [1 per cell]
O 0.565 0.862 0.221 [1 per cell]
O 0.616 0.324 0.293 [1 per cell]
O 0.650 0.524 0.753 [1 per cell]
O 0.667 0.980 0.880 [1 per cell]
O 0.693 0.739 0.543 [1 per cell]
O 0.799 0.269 0.597 [1 per cell]
O 0.826 0.219 0.906 [1 per cell]
O 0.955 0.053 0.389 [1 per cell]
O 0.956 0.658 0.982 [1 per cell]

Crystal system: triclinic

---

Entry b
A relaxed structure of Li4Ti2V3Cu3O16. Source: Alexandria, functional GGA+U.

Lattice parameters (Å, degrees): 5.764 5.834 10.712 76.35 88.34 66.89
Space group P1 (No. 1)
Unique sites:
Li 0.000 0.000 0.000 [1 per cell]
Li 0.086 0.929 0.585 [1 per cell]
Li 0.396 0.539 0.069 [1 per cell]
Li 0.651 0.772 0.523 [1 per cell]
Ti 0.286 0.374 0.564 [1 per cell]
Ti 0.918 0.503 0.107 [1 per cell]
V 0.076 0.628 0.841 [1 per cell]
V 0.546 0.823 0.800 [1 per cell]
V 0.770 0.334 0.366 [1 per cell]
Cu 0.009 0.730 0.323 [1 per cell]
Cu 0.342 0.908 0.240 [1 per cell]
Cu 0.507 0.185 0.894 [1 per cell]
O 0.017 0.188 0.231 [1 per cell]
O 0.026 0.686 0.503 [1 per cell]
O 0.034 0.259 0.469 [1 per cell]
O 0.071 0.696 0.155 [1 per cell]
O 0.187 0.366 0.000 [1 per cell]
O 0.263 0.801 0.893 [1 per cell]
O 0.304 0.418 0.735 [1 per cell]
O 0.388 0.977 0.643 [1 per cell]
O 0.532 0.478 0.492 [1 per cell]
O 0.580 0.126 0.394 [1 per cell]
O 0.605 0.590 0.208 [1 per cell]
O 0.628 0.943 0.314 [1 per cell]
O 0.732 0.352 0.979 [1 per cell]
O 0.744 0.829 0.948 [1 per cell]
O 0.774 0.464 0.844 [1 per cell]
O 0.860 0.852 0.714 [1 per cell]

Crystal system: triclinic

---

entry a is preferred energetically. Next in line: 0.068 eV/atom higher.

---

Entry a
A relaxed structure of LiVCuO4. Source: Alexandria, functional GGA+U.

Lattice parameters (Å, degrees): 5.635 5.693 9.388 90.00 90.00 90.00
Space group Imma (No. 74)
Unique sites:
Li 0.000 0.250 0.151 [4 per cell]
V 0.000 0.000 0.500 [4 per cell]
Cu 0.250 0.250 0.750 [4 per cell]
O 0.000 0.028 0.711 [8 per cell]
O 0.223 0.250 0.486 [8 per cell]

Crystal system: orthorhombic

---

Entry b
A relaxed structure of LiVCuO4. Source: Alexandria, functional GGA+U.

Lattice parameters (Å, degrees): 5.800 8.380 6.402 90.00 90.00 90.00
Space group Cmcm (No. 63)
Unique sites:
Li 0.000 0.169 0.250 [4 per cell]
V 0.000 0.152 0.750 [4 per cell]
Cu 0.000 0.500 0.000 [4 per cell]
O 0.000 0.269 0.527 [8 per cell]
O 0.239 0.021 0.750 [8 per cell]

Crystal system: orthorhombic

---

Entry c
A relaxed structure of LiVCuO4. Source: Alexandria, functional GGA+U.

Lattice parameters (Å, degrees): 5.602 5.722 14.134 90.00 90.00 90.00
Space group Imma (No. 74)
Unique sites:
Li 0.250 0.250 0.250 [4 per cell]
V 0.000 0.250 0.095 [4 per cell]
Cu 0.000 0.000 0.500 [4 per cell]
O 0.000 0.030 0.174 [8 per cell]
O 0.225 0.250 0.474 [8 per cell]

Crystal system: orthorhombic

---

Entry d
A relaxed structure of LiVCuO4. Source: Alexandria, functional GGA+U.

Lattice parameters (Å, degrees): 5.768 6.182 8.465 90.00 90.00 90.00
Space group Imma (No. 74)
Unique sites:
Li 0.000 0.000 0.000 [4 per cell]
V 0.000 0.250 0.298 [4 per cell]
Cu 0.250 0.250 0.750 [4 per cell]
O 0.000 0.044 0.768 [8 per cell]
O 0.246 0.250 0.414 [8 per cell]

Crystal system: orthorhombic

---

entry d is preferred energetically. Next in line: 0.012 eV/atom higher.

---

Entry a
A relaxed structure of LiVCuO4. Source: Alexandria, functional GGA+U.

Lattice parameters (Å, degrees): 5.714 5.813 9.012 90.00 90.00 90.00
Space group Imma (No. 74)
Unique sites:
Li 0.250 0.250 0.250 [4 per cell]
V 0.000 0.250 0.615 [4 per cell]
Cu 0.000 0.000 0.000 [4 per cell]
O 0.000 0.012 0.724 [8 per cell]
O 0.235 0.250 0.000 [8 per cell]

Crystal system: orthorhombic

---

Entry b
A relaxed structure of LiVCuO4. Source: Alexandria, functional GGA+U.

Lattice parameters (Å, degrees): 6.060 6.060 7.843 90.00 90.00 90.00
Space group P4_322 (No. 95)
Unique sites:
Li 0.000 0.237 0.000 [4 per cell]
V 0.218 0.500 0.250 [4 per cell]
Cu 0.260 0.260 0.625 [4 per cell]
O 0.032 0.274 0.266 [8 per cell]
O 0.269 0.473 0.012 [8 per cell]

Crystal system: tetragonal

---

entry a is preferred energetically. Next in line: 0.048 eV/atom higher.

---

Entry a
A relaxed structure of Li2V3CuO8. Source: Alexandria, functional GGA+U.

Lattice parameters (Å, degrees): 5.9228 5.9228 14.6308 90.00 90.00 120.00
Space group R-3m (No. 166, hexagonal axes)
Unique sites:
Li 0.0000 0.0000 0.1234 [6 per cell]
V 0.0000 0.5000 0.0000 [9 per cell]
Cu 0.0000 0.0000 0.5000 [3 per cell]
O 0.0000 0.0000 0.2600 [6 per cell]
O 0.0253 0.5126 0.2619 [18 per cell]

Crystal system: trigonal

---

Entry b
A relaxed structure of Li2V3CuO8. Source: Alexandria, functional GGA+U.

Lattice parameters (Å, degrees): 8.637 8.637 8.031 90.00 90.00 90.00
Space group P4_32_12 (No. 96)
Unique sites:
Li 0.004 0.249 0.374 [8 per cell]
V 0.123 0.370 0.757 [8 per cell]
V 0.127 0.873 0.250 [4 per cell]
Cu 0.120 0.120 0.000 [4 per cell]
O 0.104 0.141 0.753 [8 per cell]
O 0.110 0.377 0.983 [8 per cell]
O 0.111 0.636 0.263 [8 per cell]
O 0.130 0.855 0.484 [8 per cell]

Crystal system: tetragonal

---

entry b is preferred energetically. Next in line: 0.014 eV/atom higher.

---

Entry a
A relaxed structure of Li2V3CuO8. Source: Alexandria, functional GGA+U.

Lattice parameters (Å, degrees): 5.938 10.141 9.817 90.00 94.87 90.00
Space group Cc (No. 9)
Unique sites:
Li 0.000 0.014 0.000 [4 per cell]
Li 0.450 0.158 0.093 [4 per cell]
V 0.213 0.410 0.277 [4 per cell]
V 0.217 0.104 0.776 [4 per cell]
V 0.479 0.342 0.784 [4 per cell]
Cu 0.468 0.166 0.502 [4 per cell]
O 0.163 0.241 0.157 [4 per cell]
O 0.215 0.250 0.675 [4 per cell]
O 0.230 0.065 0.386 [4 per cell]
O 0.262 0.427 0.882 [4 per cell]
O 0.459 0.488 0.179 [4 per cell]
O 0.464 0.329 0.385 [4 per cell]
O 0.466 0.030 0.658 [4 per cell]
O 0.486 0.174 0.891 [4 per cell]

Crystal system: monoclinic

---

Entry b
A relaxed structure of Li2V3CuO8. Source: Alexandria, functional GGA+U.

Lattice parameters (Å, degrees): 5.9127 5.9127 14.5075 90.00 90.00 120.00
Space group R3m (No. 160, hexagonal axes)
Unique sites:
Li 0.0000 0.0000 0.0000 [3 per cell]
Li 0.0000 0.0000 0.3798 [3 per cell]
V 0.0043 0.5022 0.8806 [9 per cell]
Cu 0.0000 0.0000 0.7589 [3 per cell]
O 0.0000 0.0000 0.1385 [3 per cell]
O 0.0000 0.0000 0.6218 [3 per cell]
O 0.0271 0.5136 0.1422 [9 per cell]
O 0.1794 0.3587 0.9492 [9 per cell]

Crystal system: trigonal

---

entry b is preferred energetically. Next in line: 0.013 eV/atom higher.

---

Entry a
A relaxed structure of LiV4CuO12. Source: Alexandria, functional GGA+U.

Lattice parameters (Å, degrees): 5.006 5.378 7.355 84.82 89.56 89.07
Space group P1 (No. 1)
Unique sites:
Li 0.000 0.000 0.000 [1 per cell]
V 0.008 0.571 0.278 [1 per cell]
V 0.492 0.052 0.795 [1 per cell]
V 0.507 0.047 0.283 [1 per cell]
V 0.991 0.553 0.781 [1 per cell]
Cu 0.505 0.467 0.495 [1 per cell]
O 0.101 0.597 0.056 [1 per cell]
O 0.204 0.900 0.763 [1 per cell]
O 0.217 0.309 0.365 [1 per cell]
O 0.312 0.415 0.734 [1 per cell]
O 0.325 0.780 0.371 [1 per cell]
O 0.386 0.096 0.061 [1 per cell]
O 0.606 0.116 0.556 [1 per cell]
O 0.704 0.405 0.264 [1 per cell]
O 0.713 0.811 0.855 [1 per cell]
O 0.817 0.908 0.246 [1 per cell]
O 0.819 0.299 0.866 [1 per cell]
O 0.860 0.598 0.558 [1 per cell]

Crystal system: triclinic

---

Entry b
A relaxed structure of LiV4CuO12. Source: Alexandria, functional GGA+U.

Lattice parameters (Å, degrees): 10.023 8.923 5.923 90.00 110.46 90.00
Space group C2 (No. 5)
Unique sites:
Li 0.000 0.000 0.000 [2 per cell]
V 0.202 0.498 0.492 [4 per cell]
V 0.210 0.680 0.007 [4 per cell]
Cu 0.000 0.172 0.500 [2 per cell]
O 0.108 0.165 0.854 [4 per cell]
O 0.116 0.003 0.426 [4 per cell]
O 0.133 0.580 0.198 [4 per cell]
O 0.144 0.318 0.472 [4 per cell]
O 0.150 0.605 0.703 [4 per cell]
O 0.158 0.856 0.999 [4 per cell]

Crystal system: monoclinic

---

entry b is preferred energetically. Next in line: 0.042 eV/atom higher.